The following is a DFT calculation (GGA+U) of BaPu2NiO8 after structural relaxation. Values from VASP.

```
&SYSTEM
  ibrav = 0, nat = 12, ntyp = 4
/
ATOMIC_SPECIES
Ba 137.33 Ba.upf
Pu 244.00 Pu.upf
Ni 58.69 Ni.upf
O 16.00 O.upf
ATOMIC_POSITIONS angstrom
Ba 0.000 0.000 0.000
Pu 0.000 3.615 2.179
Pu 3.131 1.808 4.709
Ni 0.000 0.000 3.444
O 0.000 1.631 2.224
O -1.718 4.608 2.224
O 1.413 0.816 4.664
O 0.000 3.615 0.283
O 3.131 1.808 6.604
O 1.718 4.608 2.224
O 4.850 0.816 4.664
O 3.131 3.792 4.664
CELL_PARAMETERS angstrom
6.262 0.000 0.000
-3.131 5.423 0.000
0.000 0.000 6.887
```

## Properties
Fermi-level density of states: 0.937 states/eV per atom
raw total energy: -0.295 hartree per atom
space-group type: No. 164